1.
VASP calculation (PBE) on a geometry-optimized LaIn2Hg2 structure.

* polymorph energy (0 for the lowest one): 84 meV/atom
* spin magnetization: 0.0 μB per formula unit
* E: -2.433 eV per atom
* formation energy: -0.231 eV per atom
* crystal system: tetragonal
* space-group type: P4/mbm (127)

```
LaIn2Hg2
1.0
8.4013 0.0000 0.0000
0.0000 8.4013 0.0000
0.0000 0.0000 3.9043
Hg In La
4 4 2
Direct
0.8743 0.6257 0.0000 Hg
0.3743 0.8743 0.0000 Hg
0.1257 0.3743 0.0000 Hg
0.6257 0.1257 0.0000 Hg
0.6759 0.8241 0.5000 In
0.3241 0.1759 0.5000 In
0.8241 0.3241 0.5000 In
0.1759 0.6759 0.5000 In
0.5000 0.5000 0.0000 La
0.0000 0.0000 0.0000 La
```

=====

2.
VASP calculation (PBE) on a geometry-optimized La2InHg2 structure.

* polymorph energy (0 for the lowest one): 8 meV/atom
* spin magnetization: 0.0 μB per formula unit
* E: -3.110 eV per atom
* formation energy: -0.471 eV per atom
* crystal system: monoclinic
* space-group type: C2/m (12)

```
La2InHg2
1.0
-4.0448 -1.2375 -2.3184
-4.5046 -2.0934 3.9584
-5.8365 8.9358 0.3952
La Hg In
4 4 2
Direct
0.4878 0.6857 0.3386 La
0.5122 0.3143 0.6614 La
0.3168 0.2638 0.1025 La
0.6832 0.7362 0.8975 La
0.9614 0.1885 0.8888 Hg
0.1425 0.2738 0.4413 Hg
0.8575 0.7262 0.5587 Hg
0.0386 0.8115 0.1112 Hg
0.7836 0.0993 0.3334 In
0.2164 0.9007 0.6666 In
```

=====

3.
VASP calculation (PBE) on a geometry-optimized La2In3Hg2 structure.

* polymorph energy (0 for the lowest one): 0 meV/atom
* spin magnetization: 0.0 μB per formula unit
* E: -3.107 eV per atom
* formation energy: -0.440 eV per atom
* crystal system: monoclinic
* space-group type: C2/m (12)

```
La2In3Hg2
1.0
-3.6309 0.9299 -3.0473
4.8435 -2.7494 -2.7813
-4.0858 -5.2614 3.2626
In La Hg
3 2 2
Direct
0.5000 0.0000 0.0000 In
0.3995 0.7989 0.5736 In
0.6005 0.2011 0.4264 In
0.8531 0.7062 0.2261 La
0.1469 0.2938 0.7739 La
0.8392 0.6784 0.7683 Hg
0.1608 0.3216 0.2317 Hg
```